Entry from Alexandria via LeMat-Bulk: a relaxed structure of RuPbAu2 (PBE-GGA).

a = 6.2337 Å, b = 6.2337 Å, c = 4.5947 Å
α = 68.33°, β = 68.33°, γ = 28.61°
Sites, in units of the cell vectors:
Au: 0.9630 0.9630 0.0369
Au: 0.5370 0.5370 0.4631
Pb: 0.7500 0.7500 0.7500
Ru: 0.2500 0.2500 0.2500

* crystal system: orthorhombic
* raw total energy: -4.577 eV/atom

Entry from Alexandria via LeMat-Bulk: a relaxed structure of Fe2CuNi6 (PBE-GGA).

a = 3.5644 Å, b = 7.5009 Å, c = 7.5009 Å
α = 90.00°, β = 90.00°, γ = 90.00°
Sites, in units of the cell vectors:
Fe: 0.0000 0.3276 0.8276
Fe: 0.5000 0.8276 0.6724
Fe: 0.5000 0.1724 0.3276
Fe: 0.0000 0.6724 0.1724
Cu: 0.5000 0.5000 0.0000
Cu: 0.0000 0.0000 0.5000
Ni: 0.0000 0.0010 0.1654
Ni: 0.0000 0.6654 0.5010
Ni: 0.0000 0.6650 0.8350
Ni: 0.5000 0.1650 0.6650
Ni: 0.5000 0.1654 0.9990
Ni: 0.5000 0.5010 0.3346
Ni: 0.0000 0.9990 0.8346
Ni: 0.0000 0.3346 0.4990
Ni: 0.0000 0.3350 0.1650
Ni: 0.5000 0.8350 0.3350
Ni: 0.5000 0.8346 0.0010
Ni: 0.5000 0.4990 0.6654

* crystal system: tetragonal
* raw total energy: -6.229 eV/atom

Entry from Alexandria via LeMat-Bulk: a relaxed structure of Ho4CdIn3 (PBE-GGA).

a = 3.7503 Å, b = 4.7892 Å, c = 12.0323 Å
α = 90.00°, β = 90.00°, γ = 90.00°
Sites, in units of the cell vectors:
Ho: 0.5000 0.5000 0.3400
Ho: 0.0000 0.5000 0.8440
Ho: 0.0000 0.0000 0.1567
Ho: 0.5000 0.0000 0.6585
Cd: 0.5000 0.5000 0.0759
In: 0.0000 0.5000 0.5789
In: 0.0000 0.0000 0.4220
In: 0.5000 0.0000 0.9241

* E above lowest polymorph: 44 meV per atom
* crystal system: orthorhombic
* raw total energy: -3.811 eV/atom

Entry from Alexandria via LeMat-Bulk: a relaxed structure of Pm2PrDy5Er (PBE-GGA).

a = 8.7767 Å, b = 8.7767 Å, c = 9.8809 Å
α = 116.37°, β = 116.37°, γ = 90.00°
Sites, in units of the cell vectors:
Pm: 0.1161 0.3839 0.0000
Pm: 0.6161 0.1161 0.0000
Pm: 0.3839 0.8839 0.0000
Pm: 0.8839 0.6161 0.0000
Pr: 0.2500 0.2500 0.5000
Pr: 0.7500 0.7500 0.5000
Dy: 0.9275 0.4275 0.2733
Dy: 0.6542 0.1542 0.7267
Dy: 0.0725 0.5725 0.7267
Dy: 0.1542 0.0725 0.7267
Dy: 0.5725 0.6542 0.7267
Dy: 0.8458 0.9275 0.2733
Dy: 0.4275 0.3458 0.2733
Dy: 0.3458 0.8458 0.2733
Dy: 0.5000 0.5000 0.0000
Dy: 0.0000 0.0000 0.0000
Er: 0.2500 0.7500 0.5000
Er: 0.7500 0.2500 0.5000

* crystal system: tetragonal
* raw total energy: -4.381 eV/atom

Quick rundown of ΔH_f (0 K), same order as above: 0.3073; -0.0391; -0.3806; 0.2691 eV per atom
Quick rundown of Fermi-level density of states, same order as above: 0.693; 0.789; 0.956; 1.157 states/eV/atom